This record from the Alexandria database describes a geometry-optimized AlTlHg2 structure. The functional is PBE.

a = 3.6585 Å, b = 5.5643 Å, c = 10.0309 Å
α = 90.00°, β = 90.00°, γ = 90.00°
Fractional coordinates of all 8 atoms:
Al 0.0000 0.0000 0.0000
Al 0.5000 0.5000 0.0000
Tl 0.0000 0.5000 0.2515
Tl 0.5000 0.0000 0.2515
Hg 0.0000 0.0000 0.5307
Hg 0.0000 0.5000 0.7858
Hg 0.5000 0.0000 0.7858
Hg 0.5000 0.5000 0.5307

Calculated values
**DFT formation energy**: 60 kJ/mol of formula units
**Size of the total moment**: 0.00 μB/cell
**Energy**: -0.11184 Ry/atom


This record from the Alexandria database describes a geometry-optimized SmEr4Tm8 structure. The functional is PBE.

a = 9.8187 Å, b = 9.8187 Å, c = 9.8187 Å
α = 43.01°, β = 43.01°, γ = 43.01°
Fractional coordinates of all 13 atoms:
Sm 0.0000 0.0000 0.0000
Er 0.0000 0.0000 0.5000
Er 0.0000 0.5000 0.0000
Er 0.5000 0.0000 0.0000
Er 0.5000 0.5000 0.5000
Tm 0.2504 0.2504 0.6937
Tm 0.2504 0.6937 0.2504
Tm 0.2820 0.2820 0.2820
Tm 0.3063 0.7496 0.7496
Tm 0.6937 0.2504 0.2504
Tm 0.7180 0.7180 0.7180
Tm 0.7496 0.3063 0.7496
Tm 0.7496 0.7496 0.3063

Calculated values
**DFT formation energy**: 276 kJ/mol of formula units
**Size of the total moment**: 0.00 μB/cell
**Energy**: -0.31593 Ry/atom


This record from the Alexandria database describes a geometry-optimized HgSeSN2 structure. The functional is PBE.

a = 3.7398 Å, b = 3.7398 Å, c = 6.9081 Å
α = 90.00°, β = 90.00°, γ = 90.00°
Fractional coordinates of all 5 atoms:
Hg 0.0000 0.0000 0.0000
Se 0.5000 0.5000 0.5000
S 0.5000 0.5000 0.0000
N 0.0000 0.5000 0.5000
N 0.5000 0.0000 0.5000

Calculated values
**Uncorrected formation energy**: 1436 meV per atom
**Size of the total moment**: 0.00 μB/cell
**Energy**: -0.25555 Ry/atom